1) A plane-wave DFT calculation with GGA-PBE was carried out for an optimized crystal structure of PmCdSn.

Calculated values
Crystal system   monoclinic
DOS at the Fermi energy   2.12 states/eV/f.u.

a = 7.777 Å, b = 4.594 Å, c = 13.563 Å
α = 90.00°, β = 93.45°, γ = 90.00°
Space group P2_1/m (No. 11)
Inequivalent atoms, fractional coordinates:
Pm1 0.029 0.250 0.121
Pm2 0.158 0.250 0.418
Pm3 0.466 0.750 0.800
Cd1 0.120 0.250 0.699
Cd2 0.337 0.750 0.047
Cd3 0.498 0.750 0.411
Sn1 0.243 0.750 0.251
Sn2 0.258 0.750 0.588
Sn3 0.260 0.250 0.920

2) A plane-wave DFT calculation with GGA-PBE was carried out for an optimized crystal structure of PmCdSn.

Calculated values
Crystal system   cubic
DOS at the Fermi energy   1.98 states/eV/f.u.

a = 7.017 Å, b = 7.017 Å, c = 7.017 Å
α = 90.00°, β = 90.00°, γ = 90.00°
Space group F-43m (No. 216)
Inequivalent atoms, fractional coordinates:
Pm1 0.000 0.000 0.000
Cd1 0.250 0.250 0.250
Sn1 0.000 0.000 0.500

Least stable structure: 2)

1) A plane-wave DFT calculation with GGA-PBE was carried out for an optimized crystal structure of PmCdSn2.

Calculated values
Crystal system   cubic
DOS at the Fermi energy   3.00 states/eV/f.u.

a = 7.558 Å, b = 7.558 Å, c = 7.558 Å
α = 90.00°, β = 90.00°, γ = 90.00°
Space group Fm-3m (No. 225)
Inequivalent atoms, fractional coordinates:
Pm1 0.000 0.000 0.000
Cd1 0.000 0.000 0.500
Sn1 0.250 0.250 0.250

2) A plane-wave DFT calculation with GGA-PBE was carried out for an optimized crystal structure of PmCdSn2.

Calculated values
Crystal system   tetragonal
DOS at the Fermi energy   3.09 states/eV/f.u.

a = 3.956 Å, b = 3.956 Å, c = 6.835 Å
α = 90.00°, β = 90.00°, γ = 90.00°
Space group P4/mmm (No. 123)
Inequivalent atoms, fractional coordinates:
Pm1 0.000 0.000 0.000
Cd1 0.000 0.000 0.500
Sn1 0.500 0.500 0.276

3) A plane-wave DFT calculation with GGA-PBE was carried out for an optimized crystal structure of PmCdSn2.

Calculated values
Crystal system   tetragonal
DOS at the Fermi energy   1.42 states/eV/f.u.

a = 4.789 Å, b = 4.789 Å, c = 4.505 Å
α = 90.00°, β = 90.00°, γ = 90.00°
Space group P4/mmm (No. 123)
Inequivalent atoms, fractional coordinates:
Pm1 0.000 0.000 0.000
Cd1 0.500 0.500 0.000
Sn1 0.000 0.500 0.500

4) A plane-wave DFT calculation with GGA-PBE was carried out for an optimized crystal structure of PmCdSn2.

Calculated values
Crystal system   trigonal
DOS at the Fermi energy   2.22 states/eV/f.u.

a = 4.9279 Å, b = 4.9279 Å, c = 15.5787 Å
α = 90.00°, β = 90.00°, γ = 120.00°
Space group R-3m (No. 166, hexagonal axes)
Inequivalent atoms, fractional coordinates:
Pm1 0.0000 0.0000 0.0000
Cd1 0.0000 0.0000 0.5000
Sn1 0.0000 0.0000 0.2315

Least stable structure: 1)

1) A plane-wave DFT calculation with GGA-PBE was carried out for an optimized crystal structure of PmCd3Sn3.

Calculated values
Crystal system   cubic
DOS at the Fermi energy   3.75 states/eV/f.u.

a = 7.811 Å, b = 7.811 Å, c = 7.811 Å
α = 90.00°, β = 90.00°, γ = 90.00°
Space group Pm-3n (No. 223)
Inequivalent atoms, fractional coordinates:
Pm1 0.000 0.000 0.000
Cd1 0.000 0.250 0.500
Sn1 0.000 0.500 0.250

2) A plane-wave DFT calculation with GGA-PBE was carried out for an optimized crystal structure of PmCd3Sn3.

Calculated values
Crystal system   monoclinic
DOS at the Fermi energy   3.72 states/eV/f.u.

a = 9.599 Å, b = 10.186 Å, c = 7.777 Å
α = 90.00°, β = 90.02°, γ = 90.00°
Space group C2/m (No. 12)
Inequivalent atoms, fractional coordinates:
Pm1 0.246 0.000 0.001
Cd1 0.000 0.273 0.000
Cd2 0.000 0.279 0.500
Cd3 0.192 0.500 0.501
Sn1 0.000 0.000 0.299
Sn2 0.250 0.250 0.263

Least stable structure: 1)

1) A plane-wave DFT calculation with GGA-PBE was carried out for an optimized crystal structure of Pm2CdSn2.

Calculated values
Crystal system   orthorhombic
DOS at the Fermi energy   5.30 states/eV/f.u.

a = 4.593 Å, b = 6.585 Å, c = 9.360 Å
α = 90.00°, β = 90.00°, γ = 90.00°
Space group Immm (No. 71)
Inequivalent atoms, fractional coordinates:
Pm1 0.000 0.000 0.208
Cd1 0.000 0.500 0.000
Sn1 0.000 0.281 0.500

2) A plane-wave DFT calculation with GGA-PBE was carried out for an optimized crystal structure of Pm2CdSn2.

Calculated values
Crystal system   tetragonal
DOS at the Fermi energy   2.13 states/eV/f.u.

a = 7.810 Å, b = 7.810 Å, c = 4.593 Å
α = 90.00°, β = 90.00°, γ = 90.00°
Space group P4/mbm (No. 127)
Inequivalent atoms, fractional coordinates:
Pm1 0.175 0.325 0.000
Cd1 0.000 0.000 0.500
Sn1 0.130 0.630 0.500

Least stable structure: 1)